{
  "formula": "BaSr2CrF8",
  "functional": "GGA+U",
  "state": "relaxed",
  "cell": [[4.260, 0.000, 0.000], [0.497, 5.850, 0.000], [0.147, 0.655, 8.261]],
  "species": ["Ba", "Sr", "Sr", "Cr", "F", "F", "F", "F", "F", "F", "F", "F"],
  "frac_coords": [[0.000, 0.000, 0.000], [0.491, 0.482, 0.261], [0.509, 0.518, 0.739], [0.000, 0.000, 0.500], [0.033, 0.316, 0.755], [0.054, 0.189, 0.288], [0.393, 0.771, 0.481], [0.488, 0.267, 0.014], [0.512, 0.733, 0.986], [0.607, 0.229, 0.519], [0.946, 0.811, 0.712], [0.967, 0.684, 0.245]],
  "spacegroup": "P-1, No. 2",
  "final_energy_ev_per_cell": -70.3
}